AsC2Cl PBE optimized geometry; crystal system = tetragonal; total DFT energy (no corrections) = -4.265 eV/atom; distance to the lowest polymorph of the same formula = 0 meV per atom
1.0
-2.715 2.715 3.945
2.715 -2.715 3.945
2.715 2.715 -3.945
As C Cl
2 4 2
direct
0.000 0.000 0.000
0.750 0.250 0.500
0.057 0.625 0.932
0.375 0.307 0.432
0.693 0.125 0.068
0.875 0.943 0.568
0.250 0.750 0.500
0.500 0.500 0.000

AsC3Cl PBE optimized geometry; crystal system = cubic; total DFT energy (no corrections) = -3.893 eV/atom; distance to the lowest polymorph of the same formula = 0 meV per atom
1.0
4.040 0.000 0.000
0.000 4.040 0.000
0.000 0.000 4.040
As C Cl
1 3 1
direct
0.000 0.000 0.000
0.000 0.000 0.500
0.000 0.500 0.000
0.500 0.000 0.000
0.500 0.500 0.500

Number 1: E_form (uncorrected) 1.971 eV per atom. Number 2: E_form (uncorrected) 2.941 eV per atom.